Compound: ScTcAs2
Source: Alexandria
Functional: PBE
Structure: relaxed

For the energy relative to the lowest polymorph listed for this composition, the calculation gives 0.477 eV per atom. For the magnetic moment, the calculation gives 0.00 Bohr magnetons per cell. As for the crystal system: trigonal. As for the total energy: -26.593 eV per cell. The calculation puts the formation energy at -0.149 eV/atom. Its density is 6.538 Mg/m³. Its space group is R3m (160).

abc: 8.8079 8.8079 8.8079
angles: 20.65 20.65 20.65
Element x y z (fractional)
Sc (0.0000, 0.0000, 0.0000)
Tc (0.7505, 0.7505, 0.7505)
As (0.2485, 0.2485, 0.2485)
As (0.4830, 0.4830, 0.4830)